A plane-wave DFT calculation with PBE with a Hubbard U was carried out for a relaxed KV2MoO8 crystal.

Lattice parameters (Å, degrees): 9.4035 5.6692 7.8304 90.00 91.46 90.00
With the nearest neighbours (Å) after each atom.
Space group C2/m (No. 12)
Unique sites:
K: 0.0000 0.0000 0.0000 x2  6 O 2.91-3.00
V: 0.1454 0.5000 0.2867 x4  4 O 1.65-1.80
Mo: 0.0000 0.0000 0.5000 x2  6 O 1.97-1.99
O: 0.0419 0.2399 0.3256 x8  1 V 1.80, 1 Mo 1.97
O: 0.1903 0.5000 0.0850 x4  1 V 1.65
O: 0.2020 0.0000 0.5815 x4  1 V 1.75

Values from the calculation:
Final energy: -7.08 eV/atom